A geometry-optimized Sm2Er6In structure. Source: the Alexandria database, functional PBE.

POSCAR file:
```
Sm2Er6In
1.0
-1.734 5.055 7.907
1.734 -5.055 7.907
1.734 5.055 -7.907
Sm Er In
2 6 1
direct
0.152 0.152 0.000
0.848 0.848 0.000
0.161 0.823 0.338
0.203 0.500 0.703
0.485 0.823 0.662
0.515 0.177 0.338
0.797 0.500 0.297
0.839 0.177 0.662
0.500 0.000 0.500
```

D(E_F): 1.134 states/eV per atom
calculated density: 8.50 g/cm3
total magnetization: 0.000 μB/atom
calculated total energy: -39.72 eV/cell